A relaxed PuScAgPt crystal, computed with PBE.

```
PuScAgPt
1.0
4.9241 0.0000 0.0000
2.4621 4.2644 0.0000
2.4621 1.4215 4.0205
Pu Pt Sc Ag
1 1 1 1
Direct
0.7500 0.7500 0.7500
0.0000 0.0000 0.0000
0.2500 0.2500 0.2500
0.5000 0.5000 0.5000
```

The formation enthalpy at 0 K comes out at -0.4605 eV per atom.



A relaxed Pu2Si4AgPt3 crystal, computed with PBE.

```
Pu2Si4AgPt3
1.0
-1.5087 -1.7093 3.5769
3.1998 -2.7844 0.0191
5.5040 6.3619 5.3615
Si Pt Pu Ag
4 3 2 1
Direct
0.0000 0.5000 0.3590
0.5000 0.5000 0.0000
0.5000 0.0000 0.6410
0.0000 0.0000 0.0000
0.0000 0.0000 0.5000
0.0000 0.5000 0.1192
0.5000 0.0000 0.8808
0.0000 0.5000 0.7551
0.5000 0.0000 0.2449
0.5000 0.5000 0.5000
```

Its formation energy from raw total energies is -731 meV per atom.



A relaxed SmPuAgPt crystal, computed with PBE.

```
SmPuAgPt
1.0
5.0975 0.0000 0.0000
2.5488 4.4146 0.0000
2.5488 1.4715 4.1621
Pu Ag Sm Pt
1 1 1 1
Direct
0.0000 0.0000 0.0000
0.2500 0.2500 0.2500
0.5000 0.5000 0.5000
0.7500 0.7500 0.7500
```

The formation enthalpy at 0 K comes out at -0.4826 eV per atom.



A relaxed PuAgSnPt crystal, computed with PBE.

```
PuAgSnPt
1.0
4.9250 0.0000 0.0000
2.4625 4.2652 0.0000
2.4625 1.4217 4.0213
Ag Pu Sn Pt
1 1 1 1
Direct
0.2500 0.2500 0.2500
0.5000 0.5000 0.5000
0.0000 0.0000 0.0000
0.7500 0.7500 0.7500
```

The formation enthalpy at 0 K comes out at -0.3570 eV per atom.